Entry 1:
Rb2NpH12Pd3 | PBE-GGA | relaxed

Summary:
The energy is -4.07 eV per atom.

Cell lengths 6.3971, 6.3971, 6.3971 Å; angles 67.68, 67.68, 67.68 degrees
With the nearest neighbours (Å) after each atom.
Element x y z (fractional)
Rb: 0.1117 0.1117 0.1117  3 H 2.55
Rb: 0.8883 0.8883 0.8883  3 H 2.55
Np: 0.5000 0.5000 0.5000  6 H 2.25
H: 0.1051 0.6189 0.6189  1 Pd 1.68
H: 0.2353 0.2353 0.5704  2 Pd 1.83
H: 0.2353 0.5704 0.2353  2 Pd 1.83
H: 0.3811 0.3811 0.8949  1 Pd 1.68
H: 0.3811 0.8949 0.3811  1 Pd 1.68
H: 0.4296 0.7647 0.7647  2 Pd 1.83
H: 0.5704 0.2353 0.2353  2 Pd 1.83
H: 0.6189 0.1051 0.6189  1 Pd 1.68
H: 0.6189 0.6189 0.1051  1 Pd 1.68
H: 0.7647 0.4296 0.7647  2 Pd 1.83
H: 0.7647 0.7647 0.4296  2 Pd 1.83
H: 0.8949 0.3811 0.3811  1 Pd 1.68
Pd: 0.0000 0.5000 0.5000  6 H 1.68-1.83
Pd: 0.5000 0.0000 0.5000  6 H 1.68-1.83
Pd: 0.5000 0.5000 0.0000  6 H 1.68-1.83


Entry 2:
ReSbP2 | PBE-GGA | relaxed

Summary:
The energy is -6.07 eV per atom. The raw formation energy is 75.2 kJ/mol of atoms.

Cell lengths 4.5829, 4.5829, 3.1687 Å; angles 90.00, 90.00, 101.76 degrees
With the nearest neighbours (Å) after each atom.
Element x y z (fractional)
Re: 0.0000 0.0000 0.0000  8 P 2.79, 2 Sb 2.89
Sb: 0.5000 0.5000 0.0000  8 P 2.79, 2 Re 2.89
P: 0.0000 0.5000 0.5000  4 Sb 2.79, 4 Re 2.79, 2 P 2.89
P: 0.5000 0.0000 0.5000  4 Sb 2.79, 4 Re 2.79, 2 P 2.89


Entry 3:
CaTi4Ir5 | PBE-GGA | relaxed

Summary:
The energy is -8.53 eV per atom.

Cell lengths 2.9992, 2.9992, 17.8582 Å; angles 90.00, 90.00, 90.00 degrees
With the nearest neighbours (Å) after each atom.
Element x y z (fractional)
Ca: 0.0000 0.0000 0.0000  4 Ca 3.00, 8 Ir 3.12
Ti: 0.0000 0.0000 0.2103  8 Ir 2.58-2.77
Ti: 0.0000 0.0000 0.4036  8 Ir 2.70-2.73, 4 Ti 3.00
Ti: 0.0000 0.0000 0.5964  8 Ir 2.70-2.73, 4 Ti 3.00
Ti: 0.0000 0.0000 0.7897  8 Ir 2.58-2.77
Ir: 0.5000 0.5000 0.1278  4 Ti 2.58
Ir: 0.5000 0.5000 0.3101  8 Ti 2.70-2.77, 4 Ir 3.00
Ir: 0.5000 0.5000 0.5000  8 Ti 2.73, 4 Ir 3.00
Ir: 0.5000 0.5000 0.6899  8 Ti 2.70-2.77, 4 Ir 3.00
Ir: 0.5000 0.5000 0.8722  4 Ti 2.58